Record 1
The following is a PBE calculation of a relaxed Y2ScBe crystal, from Alexandria.

Calculated values
- Crystal system: cubic
- Energy: -5.3758 eV/atom
- Formation energy from the elements: 0.371 eV per atom

CIF file:
```
data_Y2ScBe
_symmetry_space_group_name_H-M 'F -4 3 m'
_symmetry_Int_Tables_number 216
_symmetry_space_group_name_Hall 'F -4 2 3'
_cell_length_a 7.2656
_cell_length_b 7.2656
_cell_length_c 7.2656
_cell_angle_alpha 90.00
_cell_angle_beta 90.00
_cell_angle_gamma 90.00
loop_
_atom_site_label
_atom_site_type_symbol
_atom_site_fract_x
_atom_site_fract_y
_atom_site_fract_z
Y1 Y 0.0000 0.0000 0.0000
Y2 Y 0.2500 0.2500 0.2500
Sc1 Sc 0.2500 0.2500 0.7500
Be1 Be 0.0000 0.0000 0.5000
```

Record 2
The following is a PBE calculation of a relaxed YScBe3 crystal, from Alexandria.

Calculated values
- Energy above the most stable polymorph in this dataset: 0.000 eV/atom
- Crystal system: cubic
- Energy: -3.8013 eV/atom
- Formation energy from the elements: 0.994 eV per atom

CIF file:
```
data_YScBe3
_symmetry_space_group_name_H-M 'P m -3 m'
_symmetry_Int_Tables_number 221
_symmetry_space_group_name_Hall '-P 4 2 3'
_cell_length_a 4.6102
_cell_length_b 4.6102
_cell_length_c 4.6102
_cell_angle_alpha 90.00
_cell_angle_beta 90.00
_cell_angle_gamma 90.00
loop_
_atom_site_label
_atom_site_type_symbol
_atom_site_fract_x
_atom_site_fract_y
_atom_site_fract_z
Y1 Y 0.0000 0.0000 0.0000
Sc1 Sc 0.5000 0.5000 0.5000
Be1 Be 0.0000 0.5000 0.5000
```

Record 3
The following is a PBE calculation of a relaxed Y2ScBe crystal, from Alexandria.

Calculated values
- Crystal system: orthorhombic
- Energy: -5.5977 eV/atom
- Formation energy from the elements: 0.149 eV per atom

CIF file:
```
data_Y2ScBe
_symmetry_space_group_name_H-M 'I m m m'
_symmetry_Int_Tables_number 71
_symmetry_space_group_name_Hall '-I 2 2'
_cell_length_a 3.5784
_cell_length_b 4.9694
_cell_length_c 10.8524
_cell_angle_alpha 90.00
_cell_angle_beta 90.00
_cell_angle_gamma 90.00
loop_
_atom_site_label
_atom_site_type_symbol
_atom_site_fract_x
_atom_site_fract_y
_atom_site_fract_z
Y1 Y 0.0000 0.0000 0.2055
Sc1 Sc 0.0000 0.5000 0.0000
Be1 Be 0.0000 0.5000 0.5000
```

Record 4
The following is a PBE calculation of a relaxed YScBe17 crystal, from Alexandria.

Calculated values
- Crystal system: trigonal
- Energy: -4.1678 eV/atom
- Formation energy from the elements: -0.160 eV per atom

CIF file:
```
data_YScBe17
_symmetry_space_group_name_H-M 'R 3 m'
_symmetry_Int_Tables_number 160
_symmetry_space_group_name_Hall 'R 3 -2"'
_cell_length_a 7.6257
_cell_length_b 7.6257
_cell_length_c 11.1072
_cell_angle_alpha 90.00
_cell_angle_beta 90.00
_cell_angle_gamma 120.00
loop_
_atom_site_label
_atom_site_type_symbol
_atom_site_fract_x
_atom_site_fract_y
_atom_site_fract_z
Y1 Y 0.0000 0.0000 0.0000
Sc1 Sc 0.0000 0.0000 0.6770
Be1 Be 0.0000 0.0000 0.2453
Be2 Be 0.0000 0.0000 0.4375
Be3 Be 0.9998 0.4999 0.4980
Be4 Be 0.0021 0.2843 0.3397
Be5 Be 0.0041 0.5021 0.1801
Be6 Be 0.1672 0.3344 0.1734
```

Record 5
The following is a PBE calculation of a relaxed Y2ScBe crystal, from Alexandria.

Calculated values
- Crystal system: tetragonal
- Energy: -5.4654 eV/atom
- Formation energy from the elements: 0.281 eV per atom

CIF file:
```
data_Y2ScBe
_symmetry_space_group_name_H-M 'I -4 m 2'
_symmetry_Int_Tables_number 119
_symmetry_space_group_name_Hall 'I -4 -2'
_cell_length_a 4.4839
_cell_length_b 4.4839
_cell_length_c 9.4732
_cell_angle_alpha 90.00
_cell_angle_beta 90.00
_cell_angle_gamma 90.00
loop_
_atom_site_label
_atom_site_type_symbol
_atom_site_fract_x
_atom_site_fract_y
_atom_site_fract_z
Y1 Y 0.0000 0.0000 0.0000
Y2 Y 0.0000 0.5000 0.2500
Sc1 Sc 0.0000 0.0000 0.5000
Be1 Be 0.0000 0.5000 0.7500
```

Record 6
The following is a PBE calculation of a relaxed Y2ScBe crystal, from Alexandria.

Calculated values
- Crystal system: orthorhombic
- Energy: -5.5109 eV/atom
- Formation energy from the elements: 0.236 eV per atom

CIF file:
```
data_Y2ScBe
_symmetry_space_group_name_H-M 'C m m m'
_symmetry_Int_Tables_number 65
_symmetry_space_group_name_Hall '-C 2 2'
_cell_length_a 7.1219
_cell_length_b 7.1918
_cell_length_c 3.7840
_cell_angle_alpha 90.00
_cell_angle_beta 90.00
_cell_angle_gamma 90.00
loop_
_atom_site_label
_atom_site_type_symbol
_atom_site_fract_x
_atom_site_fract_y
_atom_site_fract_z
Y1 Y 0.2500 0.2500 0.0000
Sc1 Sc 0.0000 0.0000 0.5000
Be1 Be 0.0000 0.5000 0.5000
```

Record 7
The following is a PBE calculation of a relaxed YSc3Be crystal, from Alexandria.

Calculated values
- Energy above the most stable polymorph in this dataset: 0.000 eV/atom
- Crystal system: cubic
- Energy: -5.6301 eV/atom
- Formation energy from the elements: 0.207 eV per atom

CIF file:
```
data_YSc3Be
_symmetry_space_group_name_H-M 'P m -3 m'
_symmetry_Int_Tables_number 221
_symmetry_space_group_name_Hall '-P 4 2 3'
_cell_length_a 4.9676
_cell_length_b 4.9676
_cell_length_c 4.9676
_cell_angle_alpha 90.00
_cell_angle_beta 90.00
_cell_angle_gamma 90.00
loop_
_atom_site_label
_atom_site_type_symbol
_atom_site_fract_x
_atom_site_fract_y
_atom_site_fract_z
Y1 Y 0.0000 0.0000 0.0000
Sc1 Sc 0.0000 0.5000 0.5000
Be1 Be 0.5000 0.5000 0.5000
```

Record 8
The following is a PBE calculation of a relaxed YSc4Be crystal, from Alexandria.

Calculated values
- Crystal system: cubic
- Energy: -5.4356 eV/atom
- Formation energy from the elements: 0.484 eV per atom

CIF file:
```
data_YSc4Be
_symmetry_space_group_name_H-M 'F -4 3 m'
_symmetry_Int_Tables_number 216
_symmetry_space_group_name_Hall 'F -4 2 3'
_cell_length_a 8.3920
_cell_length_b 8.3920
_cell_length_c 8.3920
_cell_angle_alpha 90.00
_cell_angle_beta 90.00
_cell_angle_gamma 90.00
loop_
_atom_site_label
_atom_site_type_symbol
_atom_site_fract_x
_atom_site_fract_y
_atom_site_fract_z
Y1 Y 0.0000 0.0000 0.0000
Sc1 Sc 0.1253 0.1253 0.3747
Be1 Be 0.2500 0.2500 0.7500
```

Record 9
The following is a PBE calculation of a relaxed Y2ScBe crystal, from Alexandria.

Calculated values
- Crystal system: tetragonal
- Energy: -5.4936 eV/atom
- Formation energy from the elements: 0.253 eV per atom

CIF file:
```
data_Y2ScBe
_symmetry_space_group_name_H-M 'I 4/m m m'
_symmetry_Int_Tables_number 139
_symmetry_space_group_name_Hall '-I 4 2'
_cell_length_a 4.7702
_cell_length_b 4.7702
_cell_length_c 8.3890
_cell_angle_alpha 90.00
_cell_angle_beta 90.00
_cell_angle_gamma 90.00
loop_
_atom_site_label
_atom_site_type_symbol
_atom_site_fract_x
_atom_site_fract_y
_atom_site_fract_z
Y1 Y 0.0000 0.5000 0.2500
Sc1 Sc 0.0000 0.0000 0.0000
Be1 Be 0.0000 0.0000 0.5000
```

Record 10
The following is a PBE calculation of a relaxed Y4ScBe crystal, from Alexandria.

Calculated values
- Crystal system: cubic
- Energy: -5.3121 eV/atom
- Formation energy from the elements: 0.674 eV per atom

CIF file:
```
data_Y4ScBe
_symmetry_space_group_name_H-M 'F -4 3 m'
_symmetry_Int_Tables_number 216
_symmetry_space_group_name_Hall 'F -4 2 3'
_cell_length_a 8.8791
_cell_length_b 8.8791
_cell_length_c 8.8791
_cell_angle_alpha 90.00
_cell_angle_beta 90.00
_cell_angle_gamma 90.00
loop_
_atom_site_label
_atom_site_type_symbol
_atom_site_fract_x
_atom_site_fract_y
_atom_site_fract_z
Y1 Y 0.1254 0.1254 0.1254
Sc1 Sc 0.0000 0.0000 0.5000
Be1 Be 0.2500 0.2500 0.7500
```

Record 11
The following is a PBE calculation of a relaxed Y2ScBe crystal, from Alexandria.

Calculated values
- Crystal system: trigonal
- Energy: -5.4975 eV/atom
- Formation energy from the elements: 0.249 eV per atom

CIF file:
```
data_Y2ScBe
_symmetry_space_group_name_H-M 'R -3 m'
_symmetry_Int_Tables_number 166
_symmetry_space_group_name_Hall '-R 3 2"'
_cell_length_a 3.5003
_cell_length_b 3.5003
_cell_length_c 29.0623
_cell_angle_alpha 90.00
_cell_angle_beta 90.00
_cell_angle_gamma 120.00
loop_
_atom_site_label
_atom_site_type_symbol
_atom_site_fract_x
_atom_site_fract_y
_atom_site_fract_z
Y1 Y 0.0000 0.0000 0.2365
Sc1 Sc 0.0000 0.0000 0.0000
Be1 Be 0.0000 0.0000 0.5000
```

Record 12
The following is a PBE calculation of a relaxed Y2ScBe crystal, from Alexandria.

Calculated values
- Crystal system: tetragonal
- Energy: -5.6691 eV/atom
- Formation energy from the elements: 0.077 eV per atom

CIF file:
```
data_Y2ScBe
_symmetry_space_group_name_H-M 'P 4/m m m'
_symmetry_Int_Tables_number 123
_symmetry_space_group_name_Hall '-P 4 2'
_cell_length_a 3.4318
_cell_length_b 3.4318
_cell_length_c 8.2756
_cell_angle_alpha 90.00
_cell_angle_beta 90.00
_cell_angle_gamma 90.00
loop_
_atom_site_label
_atom_site_type_symbol
_atom_site_fract_x
_atom_site_fract_y
_atom_site_fract_z
Y1 Y 0.0000 0.0000 0.2019
Sc1 Sc 0.5000 0.5000 0.5000
Be1 Be 0.5000 0.5000 0.0000
```

Record 13
The following is a PBE calculation of a relaxed YScBe2Zn crystal, from Alexandria.

Calculated values
- Crystal system: tetragonal
- Energy: -3.5031 eV/atom
- Formation energy from the elements: 0.801 eV per atom

CIF file:
```
data_YScBe2Zn
_symmetry_space_group_name_H-M 'P 4/m m m'
_symmetry_Int_Tables_number 123
_symmetry_space_group_name_Hall '-P 4 2'
_cell_length_a 4.6578
_cell_length_b 4.6578
_cell_length_c 4.8804
_cell_angle_alpha 90.00
_cell_angle_beta 90.00
_cell_angle_gamma 90.00
loop_
_atom_site_label
_atom_site_type_symbol
_atom_site_fract_x
_atom_site_fract_y
_atom_site_fract_z
Y1 Y 0.0000 0.0000 0.0000
Sc1 Sc 0.5000 0.5000 0.5000
Be1 Be 0.0000 0.5000 0.5000
Zn1 Zn 0.5000 0.5000 0.0000
```

Record 14
The following is a PBE calculation of a relaxed ScBe3Zn crystal, from Alexandria.

Calculated values
- Energy above the most stable polymorph in this dataset: 1.448 eV/atom
- Crystal system: cubic
- Energy: -1.9511 eV/atom
- Formation energy from the elements: 1.806 eV per atom

CIF file:
```
data_ScBe3Zn
_symmetry_space_group_name_H-M 'P m -3 m'
_symmetry_Int_Tables_number 221
_symmetry_space_group_name_Hall '-P 4 2 3'
_cell_length_a 4.7749
_cell_length_b 4.7749
_cell_length_c 4.7749
_cell_angle_alpha 90.00
_cell_angle_beta 90.00
_cell_angle_gamma 90.00
loop_
_atom_site_label
_atom_site_type_symbol
_atom_site_fract_x
_atom_site_fract_y
_atom_site_fract_z
Sc1 Sc 0.0000 0.0000 0.0000
Be1 Be 0.0000 0.0000 0.5000
Zn1 Zn 0.5000 0.5000 0.5000
```